Ta3VCl: relaxed, PBE.

The space group is Pm-3m (No. 221) and the conventional cell measures 4.735, 4.735 and 4.735 Å, with angles of 90.00, 90.00 and 90.00 degrees. The asymmetric unit holds Ta at (0.000, 0.000, 0.500), V at (0.000, 0.000, 0.000) and Cl at (0.500, 0.500, 0.500).

For the uncorrected formation energy, the calculation gives 1.44 eV per atom. The calculation puts the total energy at -0.289 hartree per atom. The calculation puts the energy above the most stable polymorph in this dataset at 459 meV per atom.

NaPaSn2: relaxed, PBE.

The space group is P4/mmm (No. 123) and the conventional cell measures 3.234, 3.234 and 9.878 Å, with angles of 90.00, 90.00 and 90.00 degrees. The asymmetric unit holds Na at (0.000, 0.000, 0.000), Pa at (0.000, 0.000, 0.500) and Sn at (0.500, 0.500, 0.254).

The energy of formation from the pure elements is -0.193 eV per atom. The calculation puts the total energy at -0.180 hartree per atom.

Ba2SrSm: relaxed, PBE.

The space group is P4/mmm (No. 123) and the conventional cell measures 6.614, 6.614 and 4.609 Å, with angles of 90.00, 90.00 and 90.00 degrees. The asymmetric unit holds Ba at (0.000, 0.500, 0.000), Sr at (0.000, 0.000, 0.500) and Sm at (0.500, 0.500, 0.500).

The energy of formation from the pure elements is 0.188 eV per atom. The calculation puts the total energy at -0.087 hartree per atom. The calculation puts the energy above the most stable polymorph in this dataset at 38 meV per atom.

KLiP: relaxed, PBE.

The space group is P4/nmm (No. 129, origin choice 2) and the conventional cell measures 4.487, 4.487 and 7.170 Å, with angles of 90.00, 90.00 and 90.00 degrees. The asymmetric unit holds K at (0.250, 0.250, 0.161), Li at (0.250, 0.750, 0.500) and P at (0.250, 0.250, 0.674).

The energy of formation from the pure elements is -0.285 eV per atom. The calculation puts the total energy at -0.114 hartree per atom. The calculation puts the energy above the most stable polymorph in this dataset at 143 meV per atom.

LiAgOs: relaxed, PBE.

The space group is I4mm (No. 107) and the conventional cell measures 2.617, 2.617 and 13.337 Å, with angles of 90.00, 90.00 and 90.00 degrees. The asymmetric unit holds Li at (0.000, 0.000, 0.000), Ag at (0.000, 0.000, 0.331) and Os at (0.000, 0.000, 0.656).

The energy of formation from the pure elements is 0.383 eV per atom. The calculation puts the total energy at -0.182 hartree per atom. The calculation puts the energy above the most stable polymorph in this dataset at 110 meV per atom.

Pm3Al8Cu3: relaxed, PBE.

The space group is Immm (No. 71) and the conventional cell measures 4.359, 9.846 and 12.416 Å, with angles of 90.00, 90.00 and 90.00 degrees. The asymmetric unit holds Pm at (0.000, 0.000, 0.000), Pm at (0.000, 0.000, 0.309), Al at (0.000, 0.287, 0.120), Al at (0.000, 0.363, 0.339), Cu at (0.000, 0.210, 0.500) and Cu at (0.000, 0.500, 0.000).

The energy of formation from the pure elements is -0.406 eV per atom. The calculation puts the total energy at -0.163 hartree per atom.

TaZnW2: relaxed, PBE.

The space group is Cmm2 (No. 35) and the conventional cell measures 3.254, 4.432 and 9.040 Å, with angles of 90.00, 90.00 and 90.00 degrees. The asymmetric unit holds Ta at (0.000, 0.000, 0.000), Zn at (0.000, 0.500, 0.253), W at (0.000, 0.000, 0.496) and W at (0.000, 0.500, 0.744).

The energy of formation from the pure elements is 0.088 eV per atom. The calculation puts the total energy at -0.355 hartree per atom.

CdCoCu2: relaxed, PBE.

The space group is Cmmm (No. 65) and the conventional cell measures 5.415, 7.606 and 2.689 Å, with angles of 90.00, 90.00 and 90.00 degrees. The asymmetric unit holds Cd at (0.000, 0.000, 0.000), Co at (0.000, 0.500, 0.000) and Cu at (0.250, 0.250, 0.500).

The energy of formation from the pure elements is 0.254 eV per atom. The calculation puts the total energy at -0.140 hartree per atom.

AlPtNO2: relaxed, PBE.

The space group is P4/mmm (No. 123) and the conventional cell measures 3.618, 3.618 and 3.935 Å, with angles of 90.00, 90.00 and 90.00 degrees. The asymmetric unit holds Al at (0.000, 0.000, 0.000), Pt at (0.500, 0.500, 0.500), N at (0.000, 0.000, 0.500) and O at (0.000, 0.500, 0.000).

For the uncorrected formation energy, the calculation gives -0.17 eV per atom. The calculation puts the total energy at -0.212 hartree per atom.

NaNdTcO5: relaxed, PBE.

The space group is C2/c (No. 15) and the conventional cell measures 7.177, 10.152 and 8.248 Å, with angles of 90.00, 110.28 and 90.00 degrees. The asymmetric unit holds Na at (0.000, 0.192, 0.250), Nd at (0.000, 0.500, 0.000), Tc at (0.000, 0.179, 0.750), O at (0.000, 0.410, 0.250), O at (0.122, 0.290, 0.649) and O at (0.152, 0.074, 0.917).

For the uncorrected formation energy, the calculation gives -1.99 eV per atom. The calculation puts the total energy at -0.262 hartree per atom.

Sr6LiPd2: relaxed, PBE.

The space group is Immm (No. 71) and the conventional cell measures 10.496, 10.887 and 11.747 Å, with angles of 90.00, 90.00 and 90.00 degrees. The asymmetric unit holds Sr at (0.000, 0.200, 0.238), Sr at (0.179, 0.500, 0.164), Sr at (0.209, 0.324, 0.500), Li at (0.000, 0.000, 0.000), Li at (0.000, 0.000, 0.500), Pd at (0.000, 0.315, 0.000) and Pd at (0.000, 0.500, 0.375).

The energy of formation from the pure elements is -0.315 eV per atom. The calculation puts the total energy at -0.103 hartree per atom.

Ce3Zn3Co2: relaxed, PBE.

The space group is C2/m (No. 12) and the conventional cell measures 15.396, 4.431 and 4.657 Å, with angles of 90.00, 101.79 and 90.00 degrees. The asymmetric unit holds Ce at (0.000, 0.000, 0.000), Ce at (0.161, 0.000, 0.576), Zn at (0.000, 0.500, 0.500), Zn at (0.136, 0.500, 0.059) and Co at (0.214, 0.000, 0.085).

The energy of formation from the pure elements is -0.292 eV per atom. The calculation puts the total energy at -0.175 hartree per atom.

Spin magnetization for every record listed, in sequence, given in μB per formula unit: 0.00; 0.01; 0.00; 0.00; 0.00; 0.00; 0.00; 1.34; 1.42; 1.00; 0.00; 0.98.